This record from the Alexandria database describes a crystal of Y2MoP relaxed with PBEsol. The functional is meta-GGA SCAN.

Cell: 4.714 4.714 4.714 Å, 60.00 60.00 60.00°
Sites, in units of the cell vectors:
Mo: 0.500 0.500 0.500
P: 0.250 0.250 0.250
Y: 0.000 0.000 0.000
Y: 0.750 0.750 0.750

Output
- Space-group type: No. 216
- Final energy: -100.5 eV/f.u.
- Crystal system: cubic



This record from the Alexandria database describes a crystal of Mn3CdRu relaxed with PBEsol. The functional is meta-GGA SCAN.

Cell: 4.600 4.600 4.600 Å, 90.00 90.00 90.00°
Sites, in units of the cell vectors:
Ru: 0.000 0.000 0.000
Mn: 0.000 0.500 0.000
Mn: 0.000 0.000 0.500
Mn: 0.500 0.000 0.000
Cd: 0.500 0.500 0.500

Output
- Space-group type: No. 221
- Final energy: -116.5 eV/f.u.
- Crystal system: cubic



This record from the Alexandria database describes a crystal of Nb3PtS relaxed with PBEsol. The functional is meta-GGA SCAN.

Cell: 4.857 4.857 4.857 Å, 90.00 90.00 90.00°
Sites, in units of the cell vectors:
Nb: 0.000 0.500 0.000
Nb: 0.000 0.000 0.500
Nb: 0.500 0.000 0.000
S: 0.500 0.500 0.500
Pt: 0.000 0.000 0.000

Output
- Space-group type: No. 221
- Final energy: -173.9 eV/f.u.
- Crystal system: cubic